Entry 1:
This record from Alexandria describes Cs4CuSi2O7 after structural relaxation. The functional is GGA-PBEsol.

Lattice parameters (Å, degrees): 6.474 7.454 7.464 115.11 100.86 109.09
Fractional positions:
Cs (0.058, 0.040, 0.274)
Cs (0.327, 0.592, 0.224)
Cs (0.673, 0.408, 0.776)
Cs (0.942, 0.960, 0.726)
Cu (0.500, 0.000, 0.000)
Si (0.215, 0.585, 0.724)
Si (0.785, 0.415, 0.276)
O (0.000, 0.500, 0.500)
O (0.188, 0.771, 0.930)
O (0.198, 0.370, 0.736)
O (0.474, 0.746, 0.740)
O (0.526, 0.254, 0.260)
O (0.802, 0.630, 0.264)
O (0.812, 0.229, 0.070)

Summary:
The calculation puts the uncorrected formation energy at -2.066 eV/atom. The value obtained for the size of the total moment is 1.00 μB per formula unit. The space group is No. 2.

***

Entry 2:
This record from Alexandria describes Zn5Ag3 after structural relaxation. The functional is GGA-PBEsol.

Lattice parameters (Å, degrees): 7.556 7.556 5.015 90.00 90.00 120.00
Fractional positions:
Zn (0.000, 0.215, 0.250)
Zn (0.000, 0.785, 0.750)
Zn (0.215, 0.000, 0.250)
Zn (0.215, 0.215, 0.750)
Zn (0.333, 0.667, 0.000)
Zn (0.333, 0.667, 0.500)
Zn (0.667, 0.333, 0.000)
Zn (0.667, 0.333, 0.500)
Zn (0.785, 0.000, 0.750)
Zn (0.785, 0.785, 0.250)
Ag (0.000, 0.398, 0.750)
Ag (0.000, 0.602, 0.250)
Ag (0.398, 0.000, 0.750)
Ag (0.398, 0.398, 0.250)
Ag (0.602, 0.000, 0.250)
Ag (0.602, 0.602, 0.750)

Summary:
The value obtained for the size of the total moment is 0.00 μB per formula unit. For the energy above the most stable polymorph in this dataset, the calculation gives 7.3 kJ/mol of atoms. The space group is No. 193. For the formation energy, the calculation gives 0.03 eV/atom. The value obtained for the density of states at the Fermi level is 3.91 states/eV/cell.